# 1
The following is a DFT calculation (PBE) of crystalline BeTlGa2Ru at its relaxed geometry.

Calculated formation energy: 1.521 eV per atom
Space group: No. 123
Raw total energy: -2.7632 eV/atom

Cell lengths 5.183, 5.183, 4.355 Å; angles 90.00, 90.00, 90.00 degrees
Atoms (fractional coordinates):
Be 0.000 0.000 0.000
Tl 0.000 0.000 0.500
Ga 0.000 0.500 0.500
Ga 0.500 0.000 0.500
Ru 0.500 0.500 0.000



# 2
The following is a DFT calculation (PBE) of crystalline Tm3BeGa2Ru3 at its relaxed geometry.

Calculated formation energy: -0.484 eV per atom
Space group: No. 189
Raw total energy: -6.1532 eV/atom

Cell lengths 7.131, 7.131, 3.546 Å; angles 90.00, 90.00, 120.00 degrees
Atoms (fractional coordinates):
Tm 0.000 0.368 0.000
Tm 0.368 0.000 0.000
Tm 0.632 0.632 0.000
Be 0.000 0.000 0.000
Ga 0.333 0.667 0.500
Ga 0.667 0.333 0.500
Ru 0.000 0.756 0.500
Ru 0.244 0.244 0.500
Ru 0.756 0.000 0.500



# 3
The following is a DFT calculation (PBE) of crystalline Be2V2GaRu5 at its relaxed geometry.

Calculated formation energy: -0.188 eV per atom
Space group: No. 127
Raw total energy: -7.6977 eV/atom

Cell lengths 9.139, 9.139, 3.063 Å; angles 90.00, 90.00, 90.00 degrees
Atoms (fractional coordinates):
Be 0.124 0.376 0.000
Be 0.376 0.876 0.000
Be 0.624 0.124 0.000
Be 0.876 0.624 0.000
V 0.174 0.674 0.000
V 0.326 0.174 0.000
V 0.674 0.826 0.000
V 0.826 0.326 0.000
Ga 0.000 0.000 0.000
Ga 0.500 0.500 0.000
Ru 0.000 0.500 0.500
Ru 0.080 0.204 0.500
Ru 0.204 0.920 0.500
Ru 0.296 0.420 0.500
Ru 0.420 0.704 0.500
Ru 0.500 0.000 0.500
Ru 0.580 0.296 0.500
Ru 0.704 0.580 0.500
Ru 0.796 0.080 0.500
Ru 0.920 0.796 0.500



# 4
The following is a DFT calculation (PBE) of crystalline Be2GaRu5W2 at its relaxed geometry.

Calculated formation energy: -0.179 eV per atom
Space group: No. 127
Raw total energy: -8.4558 eV/atom

Cell lengths 9.291, 9.291, 3.018 Å; angles 90.00, 90.00, 90.00 degrees
Atoms (fractional coordinates):
Be 0.125 0.375 0.000
Be 0.375 0.875 0.000
Be 0.625 0.125 0.000
Be 0.875 0.625 0.000
Ga 0.000 0.000 0.000
Ga 0.500 0.500 0.000
Ru 0.000 0.500 0.500
Ru 0.069 0.209 0.500
Ru 0.209 0.931 0.500
Ru 0.291 0.431 0.500
Ru 0.431 0.709 0.500
Ru 0.500 0.000 0.500
Ru 0.569 0.291 0.500
Ru 0.709 0.569 0.500
Ru 0.791 0.069 0.500
Ru 0.931 0.791 0.500
W 0.175 0.675 0.000
W 0.325 0.175 0.000
W 0.675 0.825 0.000
W 0.825 0.325 0.000



# 5
The following is a DFT calculation (PBE) of crystalline Y2BeGaRu at its relaxed geometry.

Calculated formation energy: 0.213 eV per atom
Space group: No. 123
Raw total energy: -5.5781 eV/atom

Cell lengths 5.118, 5.118, 3.986 Å; angles 90.00, 90.00, 90.00 degrees
Atoms (fractional coordinates):
Y 0.000 0.500 0.000
Y 0.500 0.000 0.000
Be 0.000 0.000 0.000
Ga 0.000 0.000 0.500
Ru 0.500 0.500 0.500



# 6
The following is a DFT calculation (PBE) of crystalline ZrBe2GaRu at its relaxed geometry.

Calculated formation energy: 0.795 eV per atom
Space group: No. 123
Raw total energy: -4.8656 eV/atom

Cell lengths 4.031, 4.031, 5.032 Å; angles 90.00, 90.00, 90.00 degrees
Atoms (fractional coordinates):
Zr 0.000 0.000 0.000
Be 0.000 0.500 0.500
Be 0.500 0.000 0.500
Ga 0.000 0.000 0.500
Ru 0.500 0.500 0.000



# 7
The following is a DFT calculation (PBE) of crystalline Zr2Be2GaRu5 at its relaxed geometry.

Calculated formation energy: -0.445 eV per atom
Space group: No. 127
Raw total energy: -7.8402 eV/atom

Cell lengths 9.382, 9.382, 3.220 Å; angles 90.00, 90.00, 90.00 degrees
Atoms (fractional coordinates):
Zr 0.174 0.326 0.000
Zr 0.326 0.826 0.000
Zr 0.674 0.174 0.000
Zr 0.826 0.674 0.000
Be 0.125 0.625 0.000
Be 0.375 0.125 0.000
Be 0.625 0.875 0.000
Be 0.875 0.375 0.000
Ga 0.000 0.000 0.000
Ga 0.500 0.500 0.000
Ru 0.000 0.500 0.500
Ru 0.071 0.792 0.500
Ru 0.208 0.071 0.500
Ru 0.292 0.571 0.500
Ru 0.429 0.292 0.500
Ru 0.500 0.000 0.500
Ru 0.571 0.708 0.500
Ru 0.708 0.429 0.500
Ru 0.792 0.929 0.500
Ru 0.929 0.208 0.500



# 8
The following is a DFT calculation (PBE) of crystalline Be2GaS4 at its relaxed geometry.

Space group: No. 111
E_form (uncorrected): -0.674 eV/atom
Raw total energy: -4.5297 eV/atom

Cell lengths 4.870, 4.870, 5.216 Å; angles 90.00, 90.00, 90.00 degrees
Atoms (fractional coordinates):
Be 0.000 0.500 0.000
Be 0.500 0.000 0.000
Ga 0.000 0.000 0.500
S 0.265 0.265 0.768
S 0.265 0.735 0.232
S 0.735 0.265 0.232
S 0.735 0.735 0.768



# 9
The following is a DFT calculation (PBE) of crystalline BeGa2S at its relaxed geometry.

Excess energy over the best structure of this formula in the dataset: 9.194 kcal/mol of atoms
Space group: No. 225
E_form (uncorrected): 0.494 eV/atom
Raw total energy: -2.9833 eV/atom

Cell lengths 4.542, 4.542, 4.542 Å; angles 60.00, 60.00, 60.00 degrees
Atoms (fractional coordinates):
Be 0.000 0.000 0.000
Ga 0.250 0.250 0.250
Ga 0.750 0.750 0.750
S 0.500 0.500 0.500



# 10
The following is a DFT calculation (PBE) of crystalline BeGaS at its relaxed geometry.

Excess energy over the best structure of this formula in the dataset: 0.136 kcal/mol of atoms
Space group: No. 6
E_form (uncorrected): -0.384 eV/atom
Raw total energy: -4.0104 eV/atom

Cell lengths 5.774, 3.342, 5.930 Å; angles 90.00, 109.45, 90.00 degrees
Atoms (fractional coordinates):
Be 0.000 0.000 0.000
Be 0.004 0.500 0.509
Ga 0.434 0.000 0.211
Ga 0.438 0.500 0.591
S 0.881 0.500 0.797
S 0.886 0.000 0.298



# 11
The following is a DFT calculation (PBE) of crystalline BeGaS at its relaxed geometry.

Excess energy over the best structure of this formula in the dataset: 1.754 kcal/mol of atoms
Space group: No. 12
E_form (uncorrected): -0.313 eV/atom
Raw total energy: -3.9403 eV/atom

Cell lengths 7.039, 7.039, 5.258 Å; angles 94.88, 94.88, 26.47 degrees
Atoms (fractional coordinates):
Be 0.185 0.185 0.402
Be 0.815 0.815 0.598
Ga 0.407 0.407 0.932
Ga 0.593 0.593 0.068
S 0.338 0.338 0.366
S 0.662 0.662 0.634



# 12
The following is a DFT calculation (PBE) of crystalline Be2GaS at its relaxed geometry.

Excess energy over the best structure of this formula in the dataset: 15.866 kcal/mol of atoms
Space group: No. 225
E_form (uncorrected): 0.666 eV/atom
Raw total energy: -2.9853 eV/atom

Cell lengths 4.207, 4.207, 4.207 Å; angles 60.00, 60.00, 60.00 degrees
Atoms (fractional coordinates):
Be 0.250 0.250 0.250
Be 0.750 0.750 0.750
Ga 0.000 0.000 0.000
S 0.500 0.500 0.500